PBE-GGA Rb2HfCl5F, optimized geometry; N(E_F) = 0.000 states/eV per atom; M_tot = 0.00 μB/f.u.; energy relative to the elements, uncorrected = -2.233 eV per atom
1.0
-3.675 3.675 5.045
3.675 -3.675 5.045
3.675 3.675 -5.045
Rb Hf Cl F
2 1 5 1
Direct
0.000 0.500 0.500
0.500 0.000 0.500
0.252 0.252 0.000
0.006 0.006 0.000
0.012 0.012 0.524
0.012 0.488 0.000
0.488 0.012 0.000
0.488 0.488 0.476
0.446 0.446 0.000